Record 1
# ScTi2AuO

Crystalline ScTi2AuO at its relaxed geometry (PBE, Alexandria).

Values from the calculation:
* formation energy (no corrections): -1.3868 eV/atom
* VASP energy: -37.29 eV/cell
* space group: No. 123

a = 4.1352 Å, b = 4.1352 Å, c = 4.3932 Å
α = 90.00°, β = 90.00°, γ = 90.00°
Last column: nearest neighbours and their distance in Å.
Element x y z (fractional)
Sc (0.0000, 0.0000, 0.0000)  2 O 2.20
Ti (0.0000, 0.5000, 0.5000)  2 O 2.07
Ti (0.5000, 0.0000, 0.5000)  2 O 2.07
Au (0.5000, 0.5000, 0.0000)  4 Sc 2.92, 8 Ti 3.02
O (0.0000, 0.0000, 0.5000)  4 Ti 2.07, 2 Sc 2.20

Record 2
# ZrAl2MoAs

Crystalline ZrAl2MoAs at its relaxed geometry (PBE, Alexandria).

Values from the calculation:
* VASP energy: -29.23 eV/cell
* ΔH_f (0 K): 0.46 eV per atom
* space group: No. 123

a = 4.7735 Å, b = 4.7735 Å, c = 4.7124 Å
α = 90.00°, β = 90.00°, γ = 90.00°
Last column: nearest neighbours and their distance in Å.
Element x y z (fractional)
Zr (0.0000, 0.0000, 0.0000)  8 Al 3.35, 4 As 3.38
Al (0.0000, 0.5000, 0.5000)  2 Mo 2.39
Al (0.5000, 0.0000, 0.5000)  2 Mo 2.39
Mo (0.5000, 0.5000, 0.5000)  2 As 2.36, 4 Al 2.39
As (0.5000, 0.5000, 0.0000)  2 Mo 2.36

Record 3
# NpB2C

Crystalline NpB2C at its relaxed geometry (PBE, Alexandria).

Values from the calculation:
* VASP energy: -109.38 eV/cell
* ΔH_f (0 K): -0.24 eV per atom
* space group: No. 166

a = 5.1572 Å, b = 5.1572 Å, c = 5.1572 Å
α = 78.54°, β = 78.54°, γ = 78.54°
Last column: nearest neighbours and their distance in Å.
Element x y z (fractional)
Np (0.0000, 0.0000, 0.0000)  6 C 2.58
Np (0.3103, 0.3103, 0.3103)  3 C 2.42, 6 B 2.67
Np (0.6897, 0.6897, 0.6897)  3 C 2.42, 6 B 2.67
B (0.2291, 0.5000, 0.7709)  1 C 1.50
B (0.2291, 0.7709, 0.5000)  1 C 1.50
B (0.5000, 0.2291, 0.7709)  1 C 1.50
B (0.5000, 0.7709, 0.2291)  1 C 1.50
B (0.7709, 0.2291, 0.5000)  1 C 1.50
B (0.7709, 0.5000, 0.2291)  1 C 1.50
C (0.0000, 0.0000, 0.5000)  2 B 1.50
C (0.0000, 0.5000, 0.0000)  2 B 1.50
C (0.5000, 0.0000, 0.0000)  2 B 1.50

Record 4
# YMgMo2

Crystalline YMgMo2 at its relaxed geometry (PBE, Alexandria).

Values from the calculation:
* VASP energy: -27.82 eV/cell
* ΔH_f (0 K): 0.48 eV per atom
* space group: No. 10

a = 2.8961 Å, b = 4.9982 Å, c = 5.5271 Å
α = 90.00°, β = 98.66°, γ = 90.00°
Last column: nearest neighbours and their distance in Å.
Element x y z (fractional)
Y (0.0000, 0.0000, 0.0000)  2 Y 2.90, 2 Mg 2.92, 4 Mo 2.99
Mg (0.5000, 0.0000, 0.5000)  2 Mg 2.90, 2 Y 2.92, 4 Mo 3.02
Mo (0.3177, 0.5000, 0.7760)  1 Mo 2.54
Mo (0.6823, 0.5000, 0.2240)  1 Mo 2.54

Record 5
# Tc2HgPF

Crystalline Tc2HgPF at its relaxed geometry (PBE, Alexandria).

Values from the calculation:
* formation energy (no corrections): 0.8935 eV/atom
* VASP energy: -23.85 eV/cell
* space group: No. 123

a = 4.1740 Å, b = 4.1740 Å, c = 4.7117 Å
α = 90.00°, β = 90.00°, γ = 90.00°
Last column: nearest neighbours and their distance in Å.
Element x y z (fractional)
Tc (0.0000, 0.5000, 0.0000)  2 F 2.09
Tc (0.5000, 0.0000, 0.0000)  2 F 2.09
Hg (0.0000, 0.0000, 0.5000)  4 P 2.95, 8 Tc 3.15
P (0.5000, 0.5000, 0.5000)  2 F 2.36
F (0.5000, 0.5000, 0.0000)  4 Tc 2.09

Record 6
# Dy8CuRu5

Crystalline Dy8CuRu5 at its relaxed geometry (PBE, Alexandria).

Values from the calculation:
* VASP energy: -90.43 eV/cell
* ΔH_f (0 K): -0.22 eV per atom
* space group: No. 82

a = 7.4126 Å, b = 7.4126 Å, c = 7.4126 Å
α = 109.24°, β = 109.24°, γ = 109.93°
Last column: nearest neighbours and their distance in Å.
Element x y z (fractional)
Dy (0.0153, 0.1320, 0.7578)  4 Ru 2.77-3.07, 1 Cu 2.84
Dy (0.2606, 0.5027, 0.6142)  4 Ru 2.80-2.96
Dy (0.3536, 0.7394, 0.2421)  4 Ru 2.80-2.96
Dy (0.3742, 0.2575, 0.2422)  4 Ru 2.77-3.07, 1 Cu 2.84
Dy (0.4973, 0.1115, 0.7579)  4 Ru 2.80-2.96
Dy (0.7425, 0.9847, 0.1167)  4 Ru 2.77-3.07, 1 Cu 2.84
Dy (0.8680, 0.6258, 0.8833)  4 Ru 2.77-3.07, 1 Cu 2.84
Dy (0.8885, 0.6464, 0.3858)  4 Ru 2.80-2.96
Cu (0.7500, 0.2500, 0.5000)  4 Dy 2.84
Ru (0.1388, 0.0331, 0.3954)  6 Dy 2.77-3.06
Ru (0.2567, 0.8612, 0.8943)  6 Dy 2.77-3.06
Ru (0.5000, 0.5000, 0.0000)  8 Dy 2.84-3.07
Ru (0.6377, 0.7433, 0.6046)  6 Dy 2.77-3.06
Ru (0.9669, 0.3623, 0.1057)  6 Dy 2.77-3.06

Record 7
# Na2Y2NpS6

Crystalline Na2Y2NpS6 at its relaxed geometry (PBE, Alexandria).

Values from the calculation:
* formation energy (no corrections): -1.6696 eV/atom
* VASP energy: -71.64 eV/cell
* space group: No. 12

a = 6.9052 Å, b = 6.9052 Å, c = 7.1128 Å
α = 99.34°, β = 99.34°, γ = 119.80°
Last column: nearest neighbours and their distance in Å.
Element x y z (fractional)
Na (0.1689, 0.8311, 0.0000)  6 S 2.95-2.98
Na (0.8311, 0.1689, 0.0000)  6 S 2.95-2.98
Y (0.3342, 0.6658, 0.5000)  6 S 2.74-2.77
Y (0.6658, 0.3342, 0.5000)  6 S 2.74-2.77
Np (0.0000, 0.0000, 0.5000)  6 S 2.68-2.72
S (0.0693, 0.4009, 0.7201)  1 Np 2.72, 2 Y 2.74-2.77, 2 Na 2.95-2.98
S (0.2502, 0.2502, 0.2801)  1 Np 2.68, 2 Y 2.76, 2 Na 2.97
S (0.4009, 0.0693, 0.7201)  1 Np 2.72, 2 Y 2.74-2.77, 2 Na 2.95-2.98
S (0.5991, 0.9307, 0.2799)  1 Np 2.72, 2 Y 2.74-2.77, 2 Na 2.95-2.98
S (0.7498, 0.7498, 0.7199)  1 Np 2.68, 2 Y 2.76, 2 Na 2.97
S (0.9307, 0.5991, 0.2799)  1 Np 2.72, 2 Y 2.74-2.77, 2 Na 2.95-2.98

Record 8
# ZnAg2Au2

Crystalline ZnAg2Au2 at its relaxed geometry (PBE, Alexandria).

Values from the calculation:
* ΔE to the lowest computed polymorph: 0.081 eV/atom
* VASP energy: -27.12 eV/cell
* ΔH_f (0 K): -0.01 eV per atom
* space group: No. 127

a = 6.7915 Å, b = 6.7915 Å, c = 4.1057 Å
α = 90.00°, β = 90.00°, γ = 90.00°
Last column: nearest neighbours and their distance in Å.
Element x y z (fractional)
Zn (0.0000, 0.0000, 0.0000)  4 Au 2.60
Zn (0.5000, 0.5000, 0.0000)  4 Au 2.60
Ag (0.1572, 0.3428, 0.5000)  6 Au 2.79-2.91, 1 Ag 3.02
Ag (0.3428, 0.8428, 0.5000)  6 Au 2.79-2.91, 1 Ag 3.02
Ag (0.6572, 0.1572, 0.5000)  6 Au 2.79-2.91, 1 Ag 3.02
Ag (0.8428, 0.6572, 0.5000)  6 Au 2.79-2.91, 1 Ag 3.02
Au (0.1458, 0.6458, 0.0000)  2 Zn 2.60, 6 Ag 2.79-2.91, 1 Au 2.80
Au (0.3542, 0.1458, 0.0000)  2 Zn 2.60, 6 Ag 2.79-2.91, 1 Au 2.80
Au (0.6458, 0.8542, 0.0000)  2 Zn 2.60, 6 Ag 2.79-2.91, 1 Au 2.80
Au (0.8542, 0.3542, 0.0000)  2 Zn 2.60, 6 Ag 2.79-2.91, 1 Au 2.80

Question: VASP energy of number 8 (ZnAg2Au2)?
Answer: -27.12 eV/cell